LiGe3Ir: relaxed, GGA-PBE.

Cell and atoms, written as POSCAR:
```
LiGe3Ir
1.0
5.711 0.000 0.000
0.000 6.136 -0.001
0.000 -3.069 5.313
Ge Li Ir
6 2 2
direct
0.250 0.805 0.195 Ge
0.250 0.390 0.195 Ge
0.750 0.610 0.805 Ge
0.750 0.195 0.390 Ge
0.250 0.805 0.610 Ge
0.750 0.195 0.805 Ge
0.250 0.333 0.667 Li
0.750 0.667 0.333 Li
0.500 0.000 0.000 Ir
0.000 0.000 0.000 Ir
```

Computed properties:
- E_form (eV/atom) = -0.116
- DFT total energy (eV/atom) = -5.0410
- D(E_F) (states/eV/cell) = 2.9
- ΔE to the lowest computed polymorph (eV/atom) = 0.0340